Here is a PBEsol-optimized structure of Ba2CoBr from Alexandria. Energies are from meta-GGA SCAN.

* energy above the lowest structure with this stoichiometry: 295 meV/atom
* space group: I-42d (122)
* E_form (uncorrected): -279 meV per atom
* total energy: -29.25 eV/atom
* ρ: 4.92 g/cm3

Unit cell a=7.160 b=7.160 c=7.160 alpha=102.38 beta=113.13 gamma=113.13
Each line ends with the local moment (μB).
Element x y z (fractional)
Br 0.000 0.000 0.000  0.00
Br 0.500 0.750 0.250  0.00
Ba 0.449 0.875 0.824  -0.03
Ba 0.051 0.176 0.625  -0.03
Ba 0.949 0.574 0.125  -0.03
Ba 0.551 0.375 0.426  -0.03
Co 0.500 0.250 0.750  0.27
Co 0.000 0.500 0.500  0.27

***

Here is a PBEsol-optimized structure of Ba2CoBr from Alexandria. Energies are from meta-GGA SCAN.

* energy above the lowest structure with this stoichiometry: 82 meV/atom
* space group: Imm2 (44)
* E_form (uncorrected): -493 meV per atom
* total energy: -29.46 eV/atom
* DOS at the Fermi energy: 2.90 states/eV per cell
* ρ: 5.31 g/cm3

Unit cell a=3.924 b=3.955 c=8.782 alpha=103.01 beta=102.91 gamma=90.00
Each line ends with the local moment (μB).
Element x y z (fractional)
Ba 0.932 0.932 0.865  -0.20
Ba 0.716 0.216 0.431  -0.20
Br 0.547 0.547 0.095  -0.01
Co 0.305 0.805 0.609  1.55

***

Here is a PBEsol-optimized structure of BaCo2Br from Alexandria. Energies are from meta-GGA SCAN.

* energy above the lowest structure with this stoichiometry: 273 meV/atom
* space group: I4/mmm (139)
* E_form (uncorrected): 525 meV per atom
* total energy: -22.88 eV/atom
* DOS at the Fermi energy: 4.16 states/eV per cell
* ρ: 5.68 g/cm3

Unit cell a=4.158 b=4.158 c=6.382 alpha=109.01 beta=109.01 gamma=90.00
Each line ends with the local moment (μB).
Element x y z (fractional)
Co 0.250 0.750 0.500  2.20
Co 0.750 0.250 0.500  2.20
Br 0.000 0.000 0.000  0.04
Ba 0.500 0.500 0.000  -0.06

***

Look up the total energy of the third one. -22.88 eV/atom

***

Number 2 is which compound? Ba2CoBr